Entry 1:
Below is La2PmTm3 after structural relaxation, with properties calculated at the PBE-GGA level.

Calculated values
ρ, g/cm³: 7.70
Crystal system: monoclinic
DFT formation energy, meV/atom: 123.1

a = 3.506 Å, b = 9.118 Å, c = 13.125 Å
α = 77.93°, β = 82.32°, γ = 78.92°
Fractional positions:
La: 0.816 0.490 0.879
La: 0.184 0.510 0.121
La: 0.654 0.161 0.532
La: 0.346 0.839 0.468
Pm: 0.438 0.479 0.644
Pm: 0.562 0.521 0.356
Tm: 0.040 0.123 0.797
Tm: 0.960 0.877 0.203
Tm: 0.598 0.830 0.974
Tm: 0.402 0.170 0.026
Tm: 0.735 0.823 0.707
Tm: 0.265 0.177 0.293

---

Entry 2:
Below is La3Pm3Tm5 after structural relaxation, with properties calculated at the PBE-GGA level.

Calculated values
ρ, g/cm³: 6.49
Crystal system: hexagonal
DFT formation energy, meV/atom: 711.7

a = 5.292 Å, b = 9.733 Å, c = 9.733 Å
α = 120.00°, β = 90.00°, γ = 90.00°
Fractional positions:
La: 0.500 0.731 0.731
La: 0.500 0.000 0.269
La: 0.500 0.269 0.000
Pm: 0.000 0.568 0.568
Pm: 0.000 0.432 0.000
Pm: 0.000 0.000 0.432
Tm: 0.500 0.333 0.667
Tm: 0.500 0.667 0.333
Tm: 0.500 0.359 0.359
Tm: 0.500 0.000 0.641
Tm: 0.500 0.641 0.000

---

Entry 3:
Below is La8PmTm5 after structural relaxation, with properties calculated at the PBE-GGA level.

Calculated values
ρ, g/cm³: 7.09
Crystal system: triclinic
DFT formation energy, meV/atom: 155.9

a = 8.660 Å, b = 8.614 Å, c = 8.765 Å
α = 112.86°, β = 98.99°, γ = 116.85°
Fractional positions:
La: 0.219 0.754 0.109
La: 0.108 0.205 0.733
La: 0.655 0.214 0.281
La: 0.700 0.464 0.941
La: 0.480 0.545 0.237
La: 0.517 0.774 0.867
La: 0.378 0.278 0.483
La: 0.081 0.750 0.428
Pm: 0.022 0.487 0.646
Tm: 0.953 0.250 0.060
Tm: 0.881 0.975 0.274
Tm: 0.827 0.758 0.704
Tm: 0.616 0.016 0.594
Tm: 0.312 0.031 0.894

---

Entry 4:
Below is La2Pm2Tm7 after structural relaxation, with properties calculated at the PBE-GGA level.

Calculated values
ρ, g/cm³: 7.99
Crystal system: monoclinic
DFT formation energy, meV/atom: 159.0

a = 6.064 Å, b = 8.106 Å, c = 8.106 Å
α = 91.32°, β = 73.48°, γ = 73.48°
Fractional positions:
La: 0.500 0.208 0.792
La: 0.500 0.792 0.208
Pm: 0.815 0.400 0.400
Pm: 0.185 0.600 0.600
Tm: 0.173 0.064 0.591
Tm: 0.827 0.409 0.936
Tm: 0.827 0.936 0.409
Tm: 0.173 0.591 0.064
Tm: 0.000 0.000 0.000
Tm: 0.577 0.762 0.762
Tm: 0.423 0.238 0.238